AlZnRu2 | GGA-PBEsol | relaxed

Unit cell a=2.767 b=2.767 c=8.324 alpha=80.43 beta=80.43 gamma=60.00
Positions (direct):
Ru  0.252  0.252  0.245
Ru  0.748  0.748  0.755
Zn  0.500  0.500  0.500
Al  0.000  0.000  0.000

Results
ΔE_f ... -122 meV per atom
Space-group type ... R-3m
DFT total energy ... -6.626 eV per atom
M_tot ... 0.001 μB/atom